DFT (PBE) results for Ba2Dy3YO8 after structural relaxation.

## Properties
- Total energy: -107.97 eV/cell
- Magnetization: 0.0 Bohr magnetons per cell
- Raw formation energy: -3156.5 meV/atom

Unit cell a=7.2556 b=7.2556 c=7.2556 alpha=57.78 beta=57.78 gamma=57.78
With the nearest neighbours (Å) after each atom.
Positions (direct):
Ba  0.0000  0.0000  0.0000  4 O 2.50-2.66
Ba  0.3786  0.3786  0.3786  6 O 2.59-2.65
Dy  0.3742  0.3742  0.8861  5 O 2.20-2.43
Dy  0.3742  0.8861  0.3742  5 O 2.20-2.43
Dy  0.8861  0.3742  0.3742  5 O 2.20-2.43
Y  0.7603  0.7603  0.7603  3 O 2.18
O  0.1282  0.1282  0.5677  2 Dy 2.20
O  0.1282  0.5677  0.1282  2 Dy 2.20
O  0.1388  0.6404  0.6404  1 Y 2.18, 2 Dy 2.43
O  0.1471  0.1471  0.1471  3 Dy 2.29
O  0.5677  0.1282  0.1282  2 Dy 2.20
O  0.6218  0.6218  0.6218  3 Dy 2.50, 1 Y 2.50
O  0.6404  0.1388  0.6404  1 Y 2.18, 2 Dy 2.43
O  0.6404  0.6404  0.1388  1 Y 2.18, 2 Dy 2.43

***

DFT (PBE) results for Ba2DyZn2O6 after structural relaxation.

## Properties
- Total energy: -64.46 eV/cell
- Magnetization: 1.1 Bohr magnetons per cell
- Raw formation energy: -2155.7 meV/atom

Unit cell a=6.8576 b=6.8576 c=6.8576 alpha=52.98 beta=52.98 gamma=52.98
With the nearest neighbours (Å) after each atom.
Positions (direct):
Ba  0.2110  0.2110  0.2110  3 O 2.76
Ba  0.7890  0.7890  0.7890  3 O 2.76
Dy  0.0000  0.0000  0.0000  6 O 2.26
Zn  0.4209  0.4209  0.4209  3 O 1.86
Zn  0.5791  0.5791  0.5791  3 O 1.86
O  0.2284  0.7559  0.7559  1 Zn 1.86
O  0.2441  0.2441  0.7716  1 Zn 1.86
O  0.2441  0.7716  0.2441  1 Zn 1.86
O  0.7559  0.2284  0.7559  1 Zn 1.86
O  0.7559  0.7559  0.2284  1 Zn 1.86
O  0.7716  0.2441  0.2441  1 Zn 1.86

***

DFT (PBE) results for Ba3DyZr2O9 after structural relaxation.

## Properties
- Total energy: -117.94 eV/cell
- Magnetization: 0.7 Bohr magnetons per cell
- Raw formation energy: -3056.3 meV/atom

Unit cell a=6.1141 b=6.1141 c=7.4989 alpha=90.00 beta=90.00 gamma=120.00
With the nearest neighbours (Å) after each atom.
Positions (direct):
Ba  0.0000  0.0000  0.0000  12 O 3.04-3.06
Ba  0.3333  0.6667  0.6670  12 O 3.06-3.08
Ba  0.6667  0.3333  0.3330  12 O 3.06-3.08
Dy  0.0000  0.0000  0.5000  6 O 2.24
Zr  0.3333  0.6667  0.1648  6 O 2.09-2.15
Zr  0.6667  0.3333  0.8352  6 O 2.09-2.15
O  0.0000  0.5000  0.0000  2 Zr 2.15
O  0.1717  0.3434  0.3248  1 Zr 2.09, 1 Dy 2.24
O  0.1717  0.8283  0.3248  1 Zr 2.09, 1 Dy 2.24
O  0.3434  0.1717  0.6752  1 Zr 2.09, 1 Dy 2.24
O  0.5000  0.0000  0.0000  2 Zr 2.15
O  0.5000  0.5000  0.0000  2 Zr 2.15
O  0.6566  0.8283  0.3248  1 Zr 2.09, 1 Dy 2.24
O  0.8283  0.1717  0.6752  1 Zr 2.09, 1 Dy 2.24
O  0.8283  0.6566  0.6752  1 Zr 2.09, 1 Dy 2.24

***

DFT (PBE) results for BaDy2Os after structural relaxation.

## Properties
- Total energy: -22.59 eV/cell
- Calculated formation energy: -0.060 eV/atom
- Magnetization: 0.0 Bohr magnetons per cell
- Polymorph energy (0 for the lowest one): 0 meV/atom

Unit cell a=3.4832 b=3.4832 c=10.1720 alpha=90.00 beta=90.00 gamma=90.00
With the nearest neighbours (Å) after each atom.
Positions (direct):
Ba  0.0000  0.0000  0.0000  4 Ba 3.48
Dy  0.5000  0.5000  0.3408  4 Os 2.95, 1 Dy 3.24
Dy  0.5000  0.5000  0.6592  4 Os 2.95, 1 Dy 3.24
Os  0.0000  0.0000  0.5000  8 Dy 2.95

***

DFT (PBE) results for BaDy2Os after structural relaxation.

## Properties
- Total energy: -21.69 eV/cell
- Calculated formation energy: 0.167 eV/atom
- Magnetization: 0.0 Bohr magnetons per cell
- Polymorph energy (0 for the lowest one): 226 meV/atom

Unit cell a=11.0045 b=11.0045 c=11.0045 alpha=21.13 beta=21.13 gamma=21.13
With the nearest neighbours (Å) after each atom.
Positions (direct):
Ba  0.0000  0.0000  0.0000  2 Dy 3.92, 6 Ba 4.04
Dy  0.1215  0.1215  0.1215  3 Os 2.75
Dy  0.8785  0.8785  0.8785  3 Os 2.75
Os  0.5000  0.5000  0.5000  6 Dy 2.75

***

DFT (PBE) results for BaDy2P after structural relaxation.

## Properties
- Total energy: -18.89 eV/cell
- Calculated formation energy: -0.588 eV/atom
- Magnetization: 0.0 Bohr magnetons per cell

Unit cell a=10.8372 b=10.8372 c=10.8372 alpha=20.70 beta=20.70 gamma=20.70
With the nearest neighbours (Å) after each atom.
Positions (direct):
Ba  0.0000  0.0000  0.0000  2 Dy 3.75, 6 Ba 3.89
Dy  0.1178  0.1178  0.1178  3 P 2.73
Dy  0.8822  0.8822  0.8822  3 P 2.73
P  0.5000  0.5000  0.5000  6 Dy 2.73

***

DFT (PBE) results for BaDyP after structural relaxation.

## Properties
- Total energy: -27.23 eV/cell
- Calculated formation energy: -0.560 eV/atom
- Magnetization: 1.6 Bohr magnetons per cell

Unit cell a=14.6158 b=4.1533 c=4.1533 alpha=60.02 beta=90.00 gamma=90.00
With the nearest neighbours (Å) after each atom.
Positions (direct):
Ba  0.1306  0.0000  0.0000  3 P 3.07
Ba  0.8694  0.0000  0.0000  3 P 3.07
Dy  0.3897  0.6632  0.6632  3 P 2.89, 1 Dy 3.22
Dy  0.6103  0.6632  0.6632  3 P 2.89, 1 Dy 3.22
P  0.0000  0.6666  0.6666  6 Ba 3.07
P  0.5000  0.9965  0.9965  6 Dy 2.89

***

DFT (PBE) results for Ba2DyPaP4 after structural relaxation.

## Properties
- Total energy: -49.48 eV/cell
- Calculated formation energy: -1.237 eV/atom
- Magnetization: 0.0 Bohr magnetons per cell

Unit cell a=7.2597 b=4.2516 c=7.6973 alpha=90.00 beta=108.54 gamma=90.00
With the nearest neighbours (Å) after each atom.
Positions (direct):
Ba  0.0000  0.0000  0.0000  6 P 3.30-3.32
Ba  0.5000  0.5000  0.0000  6 P 3.23-3.24
Dy  0.0000  0.5000  0.5000  6 P 2.88-2.89
Pa  0.5000  0.0000  0.5000  6 P 2.77-2.82
P  0.2459  0.0000  0.7028  1 Pa 2.77, 2 Dy 2.89
P  0.2751  0.5000  0.3002  2 Pa 2.82, 1 Dy 2.88
P  0.7249  0.5000  0.6998  2 Pa 2.82, 1 Dy 2.88
P  0.7541  0.0000  0.2972  1 Pa 2.77, 2 Dy 2.89